(1)
# MgHgSe2 | Alexandria | PBE | relaxed
data_MgHgSe2
_space_group_name_H-M_alt 'P 1'
_space_group_IT_number 1
_cell_length_a 4.013
_cell_length_b 4.308
_cell_length_c 7.196
_cell_angle_alpha 77.85
_cell_angle_beta 73.85
_cell_angle_gamma 62.27
loop_
_space_group_symop_operation_xyz
'x,y,z'
loop_
_atom_site_label
_atom_site_fract_x
_atom_site_fract_y
_atom_site_fract_z
Mg1 0.000 0.000 0.000
Hg1 0.993 0.535 0.486
Se1 0.361 0.000 0.279
Se2 0.749 0.654 0.847
# Uncorrected formation energy (meV per atom): -676
# Total moment (μB per cell): 0.00
# V (Å³/atom): 26.32
# Theoretical density (g/cm3): 6.04

---

(2)
# MgHg2Se3 | Alexandria | PBE | relaxed
data_MgHg2Se3
_space_group_name_H-M_alt 'I m m 2'
_space_group_IT_number 44
_cell_length_a 4.377
_cell_length_b 13.066
_cell_length_c 6.158
_cell_angle_alpha 90.00
_cell_angle_beta 90.00
_cell_angle_gamma 90.00
loop_
_space_group_symop_operation_xyz
'x,y,z'
'-x,-y,z'
'-x,y,z'
'x,-y,z'
'x+1/2,y+1/2,z+1/2'
'-x+1/2,-y+1/2,z+1/2'
'-x+1/2,y+1/2,z+1/2'
'x+1/2,-y+1/2,z+1/2'
loop_
_atom_site_label
_atom_site_fract_x
_atom_site_fract_y
_atom_site_fract_z
Mg1 0.000 0.000 0.000
Hg1 0.000 0.335 0.004
Se1 0.000 0.162 0.246
Se2 0.000 0.500 0.272
# Uncorrected formation energy (meV per atom): -547
# Total moment (μB per cell): 0.00
# V (Å³/atom): 29.35
# Theoretical density (g/cm3): 6.25

---

(3)
# MgHgSe2 | Alexandria | PBE | relaxed
data_MgHgSe2
_space_group_name_H-M_alt 'R -3 m'
_space_group_IT_number 166
_space_group_name_Hall '-R 3 2"'
_cell_length_a 3.3309
_cell_length_b 3.3309
_cell_length_c 32.7140
_cell_angle_alpha 90.00
_cell_angle_beta 90.00
_cell_angle_gamma 120.00
loop_
_atom_site_label
_atom_site_fract_x
_atom_site_fract_y
_atom_site_fract_z
Mg1 0.0000 0.0000 0.0000
Hg1 0.0000 0.0000 0.5000
Se1 0.0000 0.0000 0.2755
# Uncorrected formation energy (meV per atom): -302
# Total moment (μB per cell): 0.00
# V (Å³/atom): 26.19
# Theoretical density (g/cm3): 6.07

---

(4)
# MgHgSe2 | Alexandria | PBE | relaxed
data_MgHgSe2
_space_group_name_H-M_alt 'I 4/m c m'
_space_group_IT_number 140
_space_group_name_Hall '-I 4 2c'
_cell_length_a 7.216
_cell_length_b 7.216
_cell_length_c 6.986
_cell_angle_alpha 90.00
_cell_angle_beta 90.00
_cell_angle_gamma 90.00
loop_
_atom_site_label
_atom_site_fract_x
_atom_site_fract_y
_atom_site_fract_z
Mg1 0.000 0.500 0.250
Hg1 0.000 0.000 0.250
Se1 0.194 0.306 0.000
# Uncorrected formation energy (meV per atom): -376
# Total moment (μB per cell): 0.00
# V (Å³/atom): 22.74
# Theoretical density (g/cm3): 6.99

---

Question: Look up the theoretical density of the third one.
Answer: 6.07 g/cm3